(1)
The following is a GGA-PBE calculation of an optimized crystal structure of La3Tl4Cu2, from the Alexandria database.

Calculated values
magnetization: 0.0 μB per formula unit

a = 11.506 Å, b = 4.867 Å, c = 9.418 Å
α = 90.00°, β = 112.94°, γ = 90.00°
Space group C2/m (No. 12)
Unique sites:
La 0.000 0.000 0.000 x2
La 0.171 0.500 0.647 x4
Tl 0.038 0.000 0.362 x4
Tl 0.235 0.500 0.090 x4
Cu 0.102 0.500 0.278 x4

---

(2)
The following is a GGA-PBE calculation of an optimized crystal structure of La3TlCu, from the Alexandria database.

Calculated values
energy above the lowest structure with this stoichiometry: 223 meV per atom
magnetization: 0.0 μB per formula unit

a = 5.568 Å, b = 5.568 Å, c = 5.568 Å
α = 90.00°, β = 90.00°, γ = 90.00°
Space group Pm-3m (No. 221)
Unique sites:
La 0.000 0.000 0.500 x3
Tl 0.500 0.500 0.500 x1
Cu 0.000 0.000 0.000 x1

---

(3)
The following is a GGA-PBE calculation of an optimized crystal structure of LaTl2Cu, from the Alexandria database.

Calculated values
energy above the lowest structure with this stoichiometry: 38 meV per atom
magnetization: 0.0 μB per formula unit

a = 5.286 Å, b = 5.286 Å, c = 7.335 Å
α = 90.00°, β = 90.00°, γ = 90.00°
Space group I-4m2 (No. 119)
Unique sites:
La 0.000 0.000 0.000 x2
Tl 0.000 0.000 0.500 x2
Tl 0.000 0.500 0.750 x2
Cu 0.000 0.500 0.250 x2

---

(4)
The following is a GGA-PBE calculation of an optimized crystal structure of LaTl2Cu, from the Alexandria database.

Calculated values
energy above the lowest structure with this stoichiometry: 86 meV per atom
magnetization: 0.0 μB per formula unit

a = 3.681 Å, b = 5.336 Å, c = 10.573 Å
α = 90.00°, β = 90.00°, γ = 90.00°
Space group Immm (No. 71)
Unique sites:
La 0.000 0.000 0.000 x2
Tl 0.000 0.500 0.210 x4
Cu 0.000 0.000 0.500 x2

---

(5)
The following is a GGA-PBE calculation of an optimized crystal structure of LaTl2Cu, from the Alexandria database.

Calculated values
energy above the lowest structure with this stoichiometry: 0 meV per atom
magnetization: 0.0 μB per formula unit

a = 4.6567 Å, b = 4.6567 Å, c = 16.7513 Å
α = 90.00°, β = 90.00°, γ = 120.00°
Space group R-3m (No. 166, hexagonal axes)
Unique sites:
La 0.0000 0.0000 0.0000 x3
Tl 0.0000 0.0000 0.2207 x6
Cu 0.0000 0.0000 0.5000 x3

---

(6)
The following is a GGA-PBE calculation of an optimized crystal structure of La4TlCu, from the Alexandria database.

Calculated values
energy above the lowest structure with this stoichiometry: 13 meV per atom
magnetization: 0.0 μB per formula unit

a = 9.058 Å, b = 14.523 Å, c = 6.146 Å
α = 90.00°, β = 113.14°, γ = 90.00°
Space group C2/c (No. 15)
Unique sites:
La 0.115 0.192 0.074 x8
La 0.221 0.419 0.354 x8
Tl 0.000 0.388 0.750 x4
Cu 0.000 0.005 0.750 x4

---

no.,ΔE_f (eV/atom),calculated total energy (eV per atom)
1,-0.2900,-3.894
2,0.0156,-4.233
3,-0.1135,-3.553
4,-0.0657,-3.505
5,-0.1514,-3.590
6,-0.1627,-4.525